## A
# NiSbCl2

Crystalline NiSbCl2 at its relaxed geometry (PBE-GGA, Alexandria via LeMat-Bulk).

SG   Cmmm (65)

a b c (Å): 3.4924 3.4924 10.1009
angles (deg): 90.00 90.00 127.03
Fractional positions:
1 Cl 0.0000 0.0000 0.0978
2 Cl 0.0000 0.0000 0.4022
3 Sb 0.5000 0.5000 0.7500
4 Ni 0.5000 0.5000 0.2500

=====

## B
# NiSbCl2

Crystalline NiSbCl2 at its relaxed geometry (PBE-GGA, Alexandria via LeMat-Bulk).

SG   I-4m2 (119)

a b c (Å): 4.7884 4.7884 4.7884
angles (deg): 120.26 120.26 89.55
Fractional positions:
1 Cl 0.0000 0.0000 0.0000
2 Sb 0.7500 0.2500 0.5000
3 Cl 0.2500 0.7500 0.5000
4 Ni 0.5000 0.5000 0.0000

=====

Energies, relative to the best one, in meV/atom: A 0; B 431.

=====

## A
# NiSbCl2

Crystalline NiSbCl2 at its relaxed geometry (PBE-GGA, Alexandria via LeMat-Bulk).

SG   Fm-3m (225)

a b c (Å): 4.7958 4.7958 4.7958
angles (deg): 60.00 60.00 60.00
Fractional positions:
1 Cl 0.2500 0.2500 0.2500
2 Sb 0.5000 0.5000 0.5000
3 Cl 0.7500 0.7500 0.7500
4 Ni 0.0000 0.0000 0.0000

=====

## B
# NiSbCl2

Crystalline NiSbCl2 at its relaxed geometry (PBE-GGA, Alexandria via LeMat-Bulk).

SG   Imm2 (44)

a b c (Å): 7.2321 7.2321 7.2321
angles (deg): 153.58 137.52 50.73
Fractional positions:
1 Sb 0.3845 0.8845 0.5000
2 Ni 0.5384 0.5384 0.0000
3 Cl 0.9270 0.9270 0.0000
4 Cl 0.6502 0.1502 0.5000

=====

Energies, relative to the best one, in meV/atom: A 640; B 0.

=====

## A
# Ni2SbCl

Crystalline Ni2SbCl at its relaxed geometry (PBE-GGA, Alexandria via LeMat-Bulk).

SG   Cmmm (65)

a b c (Å): 4.5583 4.5583 3.0819
angles (deg): 90.00 90.00 90.11
Fractional positions:
1 Sb 0.5000 0.0000 0.5000
2 Ni 0.0000 0.0000 0.0000
3 Cl 0.0000 0.5000 0.5000
4 Ni 0.5000 0.5000 0.0000

=====

## B
# Ni2SbCl

Crystalline Ni2SbCl at its relaxed geometry (PBE-GGA, Alexandria via LeMat-Bulk).

SG   Pmmm (47)

a b c (Å): 3.2031 3.4898 6.2884
angles (deg): 89.98 90.00 90.00
Fractional positions:
1 Cl 0.5000 0.7500 0.7500
2 Ni 0.0000 0.7499 0.4479
3 Sb 0.5000 0.2500 0.2500
4 Ni 0.0000 0.7501 0.0521

=====

## C
# Ni2SbCl

Crystalline Ni2SbCl at its relaxed geometry (PBE-GGA, Alexandria via LeMat-Bulk).

SG   Pmm2 (25)

a b c (Å): 3.3416 3.9125 5.8437
angles (deg): 90.00 90.00 90.00
Fractional positions:
1 Cl 0.5000 0.9999 0.7763
2 Ni 0.5000 0.0001 0.3841
3 Sb 0.0000 0.5000 0.3014
4 Ni 0.0000 0.0000 0.0382

=====

## D
# Ni2SbCl

Crystalline Ni2SbCl at its relaxed geometry (PBE-GGA, Alexandria via LeMat-Bulk).

SG   F-43m (216)

a b c (Å): 4.5785 4.5785 4.5785
angles (deg): 60.00 60.00 60.00
Fractional positions:
1 Ni 0.2500 0.2500 0.2500
2 Ni 0.0000 0.0000 0.0000
3 Sb 0.7500 0.7500 0.7500
4 Cl 0.5000 0.5000 0.5000

=====

Energies, relative to the best one, in meV/atom: A 457; B 95; C 0; D 758.

=====

## A
# Ni2SbCl

Crystalline Ni2SbCl at its relaxed geometry (PBE-GGA, Alexandria via LeMat-Bulk).

SG   P4/mmm (123)

a b c (Å): 3.2737 3.2737 6.3374
angles (deg): 90.00 90.00 90.00
Fractional positions:
1 Cl 0.5000 0.5000 0.7500
2 Ni 0.0000 0.0000 0.4573
3 Ni 0.0000 0.0000 0.0427
4 Sb 0.5000 0.5000 0.2500

=====

## B
# Ni2SbCl

Crystalline Ni2SbCl at its relaxed geometry (PBE-GGA, Alexandria via LeMat-Bulk).

SG   I-42d (122)

a b c (Å): 5.8270 5.8270 6.2267
angles (deg): 62.10 62.10 90.00
Fractional positions:
1 Ni 0.5983 0.1250 0.2500
2 Cl 0.5000 0.5000 0.0000
3 Ni 0.8750 0.8483 0.7500
4 Ni 0.1517 0.6250 0.2500
5 Ni 0.3750 0.4017 0.7500
6 Sb 0.0000 0.0000 0.0000
7 Sb 0.7500 0.2500 0.5000
8 Cl 0.2500 0.7500 0.5000

=====

## C
# Ni2SbCl

Crystalline Ni2SbCl at its relaxed geometry (PBE-GGA, Alexandria via LeMat-Bulk).

SG   Immm (71)

a b c (Å): 5.0433 5.0433 5.0433
angles (deg): 143.08 108.67 83.14
Fractional positions:
1 Cl 0.2500 0.7500 0.5000
2 Ni 0.4958 0.4958 0.0000
3 Ni 0.0042 0.0042 0.0000
4 Sb 0.7500 0.2500 0.5000

=====

Energies, relative to the best one, in meV/atom: A 130; B 0; C 185.

=====

## A
# NiSb3Cl

Crystalline NiSb3Cl at its relaxed geometry (PBE-GGA, Alexandria via LeMat-Bulk).

SG   Pm-3m (221)

a b c (Å): 5.0328 5.0328 5.0328
angles (deg): 90.00 90.00 90.00
Fractional positions:
1 Ni 0.0000 0.0000 0.0000
2 Sb 0.5000 0.0000 0.0000
3 Sb 0.0000 0.5000 0.0000
4 Cl 0.5000 0.5000 0.5000
5 Sb 0.0000 0.0000 0.5000

=====

## B
# NiSb3Cl

Crystalline NiSb3Cl at its relaxed geometry (PBE-GGA, Alexandria via LeMat-Bulk).

SG   Pm-3m (221)

a b c (Å): 5.2321 5.2321 5.2321
angles (deg): 90.00 90.00 90.00
Fractional positions:
1 Sb 0.0000 0.0000 0.5000
2 Ni 0.5000 0.5000 0.5000
3 Sb 0.0000 0.5000 0.0000
4 Sb 0.5000 0.0000 0.0000
5 Cl 0.0000 0.0000 0.0000

=====

Energies, relative to the best one, in meV/atom: A 0; B 959.

=====

## A
# NiSb2TeCl

Crystalline NiSb2TeCl at its relaxed geometry (PBE-GGA, Alexandria via LeMat-Bulk).

SG   P4/mmm (123)

a b c (Å): 5.2014 5.2014 5.4951
angles (deg): 90.00 90.00 90.00
Fractional positions:
1 Cl 0.0000 0.0000 0.0000
2 Sb 0.5000 0.0000 0.0000
3 Sb 0.0000 0.5000 0.0000
4 Ni 0.5000 0.5000 0.5000
5 Te 0.0000 0.0000 0.5000

=====

## B
# NiSb2TeCl

Crystalline NiSb2TeCl at its relaxed geometry (PBE-GGA, Alexandria via LeMat-Bulk).

SG   P4/mmm (123)

a b c (Å): 5.0358 5.0358 4.9823
angles (deg): 90.00 90.00 90.00
Fractional positions:
1 Ni 0.0000 0.0000 0.0000
2 Sb 0.0000 0.5000 0.0000
3 Cl 0.5000 0.5000 0.5000
4 Te 0.0000 0.0000 0.5000
5 Sb 0.5000 0.0000 0.0000

=====

Energies, relative to the best one, in meV/atom: A 982; B 0.